(1)
Entry from Alexandria: a relaxed Pr2YC2Br2 crystal (GGA-PBE).

As for the density of states at the Fermi level: 0.1326 states/eV/atom. Its energy is -84.6 eV for the cell shown.

The space group is I4/mmm (No. 139) and the conventional cell measures 4.572, 4.572 and 15.714 Å, with angles of 90.00, 90.00 and 90.00 degrees. The inequivalent atoms are Pr at (0.000, 0.000, 0.101), Y at (0.000, 0.000, 0.500), C at (0.000, 0.500, 0.000) and Br at (0.000, 0.000, 0.309).

***

(2)
Entry from Alexandria: a relaxed Pr4ZnCBr2 crystal (GGA-PBE).

As for the density of states at the Fermi level: 0.7687 states/eV/atom. Its energy is -38.7 eV for the cell shown.

The space group is P2/m (No. 10) and the conventional cell measures 7.307, 3.968 and 7.828 Å, with angles of 90.00, 106.38 and 90.00 degrees. The inequivalent atoms are Pr at (0.201, 0.000, 0.188), Pr at (0.231, 0.500, 0.792), Zn at (0.500, 0.000, 0.000), C at (0.000, 0.500, 0.000), Br at (0.000, 0.000, 0.500) and Br at (0.500, 0.500, 0.500).

***

Formation energy (no corrections) / eV/atom: -0.640; -0.722